# La12ZnNi5 PBE-GGA optimized geometry
data_La12ZnNi5
_cell_length_a 9.6797
_cell_length_b 10.1501
_cell_length_c 10.4151
_cell_angle_alpha 90.00
_cell_angle_beta 90.00
_cell_angle_gamma 90.00
_symmetry_space_group_name_H-M 'I m m m'
_symmetry_Int_Tables_number 71
_symmetry_space_group_name_Hall '-I 2 2'
loop_
_atom_site_label
_atom_site_fract_x
_atom_site_fract_y
_atom_site_fract_z
La1 0.0000 0.1876 0.2055
La2 0.1944 0.5000 0.1715
La3 0.1988 0.3248 0.5000
Zn1 0.0000 0.0000 0.5000
Ni1 0.0000 0.0000 0.0000
Ni2 0.0000 0.3644 0.0000
Ni3 0.0000 0.5000 0.3710
# Crystal system: orthorhombic

=====

# ZnCuAuF2 PBE-GGA optimized geometry
data_ZnCuAuF2
_cell_length_a 3.7714
_cell_length_b 3.7714
_cell_length_c 6.3740
_cell_angle_alpha 90.00
_cell_angle_beta 90.00
_cell_angle_gamma 90.00
_symmetry_space_group_name_H-M 'P 4/m m m'
_symmetry_Int_Tables_number 123
_symmetry_space_group_name_Hall '-P 4 2'
loop_
_atom_site_label
_atom_site_fract_x
_atom_site_fract_y
_atom_site_fract_z
Zn1 0.0000 0.0000 0.0000
Cu1 0.0000 0.0000 0.5000
Au1 0.5000 0.5000 0.5000
F1 0.0000 0.5000 0.0000
# Crystal system: tetragonal
# Uncorrected formation energy, meV/atom: -887

=====

# Li3U3PaS8 PBE-GGA optimized geometry
data_Li3U3PaS8
_cell_length_a 7.7903
_cell_length_b 7.7903
_cell_length_c 18.7615
_cell_angle_alpha 90.00
_cell_angle_beta 90.00
_cell_angle_gamma 120.00
_symmetry_space_group_name_H-M 'R -3 m'
_symmetry_Int_Tables_number 166
_symmetry_space_group_name_Hall '-R 3 2"'
loop_
_atom_site_label
_atom_site_fract_x
_atom_site_fract_y
_atom_site_fract_z
Li1 0.0000 0.5000 0.0000
U1 0.0000 0.5000 0.5000
Pa1 0.0000 0.0000 0.5000
S1 0.0000 0.0000 0.2520
S2 0.0044 0.5022 0.2504
# Crystal system: trigonal
# Uncorrected formation energy, meV/atom: -1406

=====

# NaLaPbCl6 PBE-GGA optimized geometry
data_NaLaPbCl6
_cell_length_a 7.1837
_cell_length_b 7.1837
_cell_length_c 12.6187
_cell_angle_alpha 90.00
_cell_angle_beta 90.00
_cell_angle_gamma 120.00
_symmetry_space_group_name_H-M 'P -3 1 c'
_symmetry_Int_Tables_number 163
_symmetry_space_group_name_Hall '-P 3 2c'
loop_
_atom_site_label
_atom_site_fract_x
_atom_site_fract_y
_atom_site_fract_z
Na1 0.3333 0.6667 0.2500
La1 0.3333 0.6667 0.7500
Pb1 0.0000 0.0000 0.0000
Cl1 0.0046 0.3435 0.6282
# Crystal system: trigonal
# Uncorrected formation energy, meV/atom: -1835

=====

# TaTiCu PBE-GGA optimized geometry
data_TaTiCu
_cell_length_a 4.5631
_cell_length_b 4.5631
_cell_length_c 2.6625
_cell_angle_alpha 90.00
_cell_angle_beta 90.00
_cell_angle_gamma 120.00
_symmetry_space_group_name_H-M 'P 3 m 1'
_symmetry_Int_Tables_number 156
_symmetry_space_group_name_Hall 'P 3 -2"'
loop_
_atom_site_label
_atom_site_fract_x
_atom_site_fract_y
_atom_site_fract_z
Ta1 0.0000 0.0000 0.0000
Ti1 0.6667 0.3333 0.5492
Cu1 0.3333 0.6667 0.2950
# Crystal system: trigonal
# Energy relative to the lowest polymorph listed for this composition, meV per atom: 323

=====

# AcPm2Pr4Sm PBE-GGA optimized geometry
data_AcPm2Pr4Sm
_cell_length_a 5.2537
_cell_length_b 5.2710
_cell_length_c 10.5346
_cell_angle_alpha 90.00
_cell_angle_beta 90.12
_cell_angle_gamma 90.00
_symmetry_space_group_name_H-M 'P 1 2/m 1'
_symmetry_Int_Tables_number 10
_symmetry_space_group_name_Hall '-P 2y'
loop_
_atom_site_label
_atom_site_fract_x
_atom_site_fract_y
_atom_site_fract_z
Ac1 0.0000 0.0000 0.0000
Pm1 0.0000 0.0000 0.5000
Pm2 0.5000 0.5000 0.0000
Pr1 0.0001 0.5000 0.2563
Pr2 0.4995 0.0000 0.7433
Sm1 0.5000 0.5000 0.5000
# Crystal system: monoclinic

=====

# CuPtI2O PBE-GGA optimized geometry
data_CuPtI2O
_cell_length_a 5.6662
_cell_length_b 5.6662
_cell_length_c 3.8007
_cell_angle_alpha 90.00
_cell_angle_beta 90.00
_cell_angle_gamma 90.00
_symmetry_space_group_name_H-M 'P 4/m m m'
_symmetry_Int_Tables_number 123
_symmetry_space_group_name_Hall '-P 4 2'
loop_
_atom_site_label
_atom_site_fract_x
_atom_site_fract_y
_atom_site_fract_z
Cu1 0.0000 0.0000 0.0000
Pt1 0.5000 0.5000 0.5000
I1 0.0000 0.5000 0.5000
O1 0.5000 0.5000 0.0000
# Crystal system: tetragonal
# Uncorrected formation energy, meV/atom: 270
# Energy relative to the lowest polymorph listed for this composition, meV per atom: 0

=====

# Tm12Ag2Hg5 PBE-GGA optimized geometry
data_Tm12Ag2Hg5
_cell_length_a 13.9354
_cell_length_b 8.4935
_cell_length_c 8.9658
_cell_angle_alpha 90.00
_cell_angle_beta 94.87
_cell_angle_gamma 90.00
_symmetry_space_group_name_H-M 'C 1 2/m 1'
_symmetry_Int_Tables_number 12
_symmetry_space_group_name_Hall '-C 2y'
loop_
_atom_site_label
_atom_site_fract_x
_atom_site_fract_y
_atom_site_fract_z
Tm1 0.0241 0.0000 0.2432
Tm2 0.0753 0.5000 0.8411
Tm3 0.1257 0.2115 0.5526
Tm4 0.1859 0.2925 0.1757
Ag1 0.0000 0.2327 0.0000
Hg1 0.0000 0.5000 0.5000
Hg2 0.1674 0.0000 0.9513
Hg3 0.2491 0.0000 0.3725
# Crystal system: monoclinic

=====

no.,calculated total energy (eV per formula unit)
1,-93.39
2,-16.82
3,-103.22
4,-37.55
5,-23.09
6,-37.29
7,-16.85
8,-63.58